Entry 1:
VRuSe2N: relaxed, PBE.

Values from the calculation:
The energy relative to the lowest polymorph listed for this composition is 0.00 kJ per mole of atoms. The uncorrected formation energy is 0.45 eV per atom.

The structure in CIF format:
```
data_VRuSe2N
_chemical_formula_sum 'V1 Ru1 Se2 N1'
_symmetry_space_group_name_H-M 'P 4/m m m'
_symmetry_Int_Tables_number 123
_symmetry_space_group_name_Hall '-P 4 2'
_cell_length_a 5.055
_cell_length_b 5.055
_cell_length_c 3.628
_cell_angle_alpha 90.00
_cell_angle_beta 90.00
_cell_angle_gamma 90.00
loop_
_atom_site_label
_atom_site_type_symbol
_atom_site_fract_x
_atom_site_fract_y
_atom_site_fract_z
_atom_site_occupancy
V1 V 0.000 0.000 0.000 1
Ru1 Ru 0.500 0.500 0.500 1
Se1 Se 0.000 0.500 0.500 1
N1 N 0.500 0.500 0.000 1
```



Entry 2:
VRuSe2N: relaxed, PBE.

Values from the calculation:
The energy relative to the lowest polymorph listed for this composition is 6.56 kJ per mole of atoms. The uncorrected formation energy is 0.51 eV per atom.

The structure in CIF format:
```
data_VRuSe2N
_chemical_formula_sum 'V1 Ru1 Se2 N1'
_symmetry_space_group_name_H-M 'P 4/m m m'
_symmetry_Int_Tables_number 123
_symmetry_space_group_name_Hall '-P 4 2'
_cell_length_a 4.908
_cell_length_b 4.908
_cell_length_c 3.546
_cell_angle_alpha 90.00
_cell_angle_beta 90.00
_cell_angle_gamma 90.00
loop_
_atom_site_label
_atom_site_type_symbol
_atom_site_fract_x
_atom_site_fract_y
_atom_site_fract_z
_atom_site_occupancy
V1 V 0.000 0.000 0.000 1
Ru1 Ru 0.500 0.500 0.500 1
Se1 Se 0.000 0.500 0.000 1
N1 N 0.000 0.000 0.500 1
```



Entry 3:
RuWSeN2: relaxed, PBE.

Values from the calculation:
The energy relative to the lowest polymorph listed for this composition is 0.00 kJ per mole of atoms. The uncorrected formation energy is 0.83 eV per atom.

The structure in CIF format:
```
data_RuWSeN2
_chemical_formula_sum 'Ru1 W1 Se1 N2'
_symmetry_space_group_name_H-M 'P 4/m m m'
_symmetry_Int_Tables_number 123
_symmetry_space_group_name_Hall '-P 4 2'
_cell_length_a 3.880
_cell_length_b 3.880
_cell_length_c 5.308
_cell_angle_alpha 90.00
_cell_angle_beta 90.00
_cell_angle_gamma 90.00
loop_
_atom_site_label
_atom_site_type_symbol
_atom_site_fract_x
_atom_site_fract_y
_atom_site_fract_z
_atom_site_occupancy
Ru1 Ru 0.000 0.000 0.000 1
W1 W 0.500 0.500 0.500 1
Se1 Se 0.500 0.500 0.000 1
N1 N 0.000 0.500 0.500 1
```



Entry 4:
RuWSeN2: relaxed, PBE.

Values from the calculation:
The energy relative to the lowest polymorph listed for this composition is 55.80 kJ per mole of atoms. The uncorrected formation energy is 1.41 eV per atom.

The structure in CIF format:
```
data_RuWSeN2
_chemical_formula_sum 'Ru1 W1 Se1 N2'
_symmetry_space_group_name_H-M 'P 4/m m m'
_symmetry_Int_Tables_number 123
_symmetry_space_group_name_Hall '-P 4 2'
_cell_length_a 3.812
_cell_length_b 3.812
_cell_length_c 5.308
_cell_angle_alpha 90.00
_cell_angle_beta 90.00
_cell_angle_gamma 90.00
loop_
_atom_site_label
_atom_site_type_symbol
_atom_site_fract_x
_atom_site_fract_y
_atom_site_fract_z
_atom_site_occupancy
Ru1 Ru 0.000 0.000 0.000 1
W1 W 0.500 0.500 0.500 1
Se1 Se 0.000 0.000 0.500 1
N1 N 0.000 0.500 0.000 1
```



Entry 5:
YRuSeN2: relaxed, PBE.

Values from the calculation:
The energy relative to the lowest polymorph listed for this composition is 0.00 kJ per mole of atoms. The uncorrected formation energy is -0.02 eV per atom.

The structure in CIF format:
```
data_YRuSeN2
_chemical_formula_sum 'Y1 Ru1 Se1 N2'
_symmetry_space_group_name_H-M 'P 4/m m m'
_symmetry_Int_Tables_number 123
_symmetry_space_group_name_Hall '-P 4 2'
_cell_length_a 3.936
_cell_length_b 3.936
_cell_length_c 5.098
_cell_angle_alpha 90.00
_cell_angle_beta 90.00
_cell_angle_gamma 90.00
loop_
_atom_site_label
_atom_site_type_symbol
_atom_site_fract_x
_atom_site_fract_y
_atom_site_fract_z
_atom_site_occupancy
Y1 Y 0.000 0.000 0.000 1
Ru1 Ru 0.500 0.500 0.500 1
Se1 Se 0.500 0.500 0.000 1
N1 N 0.000 0.500 0.500 1
```



Entry 6:
YRuSeN2: relaxed, PBE.

Values from the calculation:
The energy relative to the lowest polymorph listed for this composition is 130.03 kJ per mole of atoms. The uncorrected formation energy is 1.32 eV per atom.

The structure in CIF format:
```
data_YRuSeN2
_chemical_formula_sum 'Y1 Ru1 Se1 N2'
_symmetry_space_group_name_H-M 'P 4/m m m'
_symmetry_Int_Tables_number 123
_symmetry_space_group_name_Hall '-P 4 2'
_cell_length_a 4.320
_cell_length_b 4.320
_cell_length_c 5.754
_cell_angle_alpha 90.00
_cell_angle_beta 90.00
_cell_angle_gamma 90.00
loop_
_atom_site_label
_atom_site_type_symbol
_atom_site_fract_x
_atom_site_fract_y
_atom_site_fract_z
_atom_site_occupancy
Y1 Y 0.000 0.000 0.000 1
Ru1 Ru 0.500 0.500 0.500 1
Se1 Se 0.000 0.000 0.500 1
N1 N 0.000 0.500 0.000 1
```



Entry 7:
ZnRuSeN2: relaxed, PBE.

Values from the calculation:
The energy relative to the lowest polymorph listed for this composition is 0.00 kJ per mole of atoms. The uncorrected formation energy is 0.62 eV per atom.

The structure in CIF format:
```
data_ZnRuSeN2
_chemical_formula_sum 'Zn1 Ru1 Se1 N2'
_symmetry_space_group_name_H-M 'P 4/m m m'
_symmetry_Int_Tables_number 123
_symmetry_space_group_name_Hall '-P 4 2'
_cell_length_a 3.776
_cell_length_b 3.776
_cell_length_c 5.504
_cell_angle_alpha 90.00
_cell_angle_beta 90.00
_cell_angle_gamma 90.00
loop_
_atom_site_label
_atom_site_type_symbol
_atom_site_fract_x
_atom_site_fract_y
_atom_site_fract_z
_atom_site_occupancy
Zn1 Zn 0.000 0.000 0.000 1
Ru1 Ru 0.500 0.500 0.500 1
Se1 Se 0.500 0.500 0.000 1
N1 N 0.000 0.500 0.500 1
```



Entry 8:
ZnRuSeN2: relaxed, PBE.

Values from the calculation:
The energy relative to the lowest polymorph listed for this composition is 112.50 kJ per mole of atoms. The uncorrected formation energy is 1.78 eV per atom.

The structure in CIF format:
```
data_ZnRuSeN2
_chemical_formula_sum 'Zn1 Ru1 Se1 N2'
_symmetry_space_group_name_H-M 'P 4/m m m'
_symmetry_Int_Tables_number 123
_symmetry_space_group_name_Hall '-P 4 2'
_cell_length_a 3.850
_cell_length_b 3.850
_cell_length_c 4.814
_cell_angle_alpha 90.00
_cell_angle_beta 90.00
_cell_angle_gamma 90.00
loop_
_atom_site_label
_atom_site_type_symbol
_atom_site_fract_x
_atom_site_fract_y
_atom_site_fract_z
_atom_site_occupancy
Zn1 Zn 0.000 0.000 0.000 1
Ru1 Ru 0.500 0.500 0.000 1
Se1 Se 0.500 0.500 0.500 1
N1 N 0.000 0.500 0.500 1
```



Entry 9:
Zn2RuSeN: relaxed, PBE.

Values from the calculation:
The uncorrected formation energy is 1.50 eV per atom.

The structure in CIF format:
```
data_Zn2RuSeN
_chemical_formula_sum 'Zn2 Ru1 Se1 N1'
_symmetry_space_group_name_H-M 'P 4/m m m'
_symmetry_Int_Tables_number 123
_symmetry_space_group_name_Hall '-P 4 2'
_cell_length_a 4.967
_cell_length_b 4.967
_cell_length_c 3.658
_cell_angle_alpha 90.00
_cell_angle_beta 90.00
_cell_angle_gamma 90.00
loop_
_atom_site_label
_atom_site_type_symbol
_atom_site_fract_x
_atom_site_fract_y
_atom_site_fract_z
_atom_site_occupancy
Zn1 Zn 0.000 0.500 0.000 1
Ru1 Ru 0.000 0.000 0.500 1
Se1 Se 0.500 0.500 0.000 1
N1 N 0.500 0.500 0.500 1
```



Entry 10:
ZnRuSeN2: relaxed, PBE.

Values from the calculation:
The energy relative to the lowest polymorph listed for this composition is 114.63 kJ per mole of atoms. The uncorrected formation energy is 1.81 eV per atom.

The structure in CIF format:
```
data_ZnRuSeN2
_chemical_formula_sum 'Zn1 Ru1 Se1 N2'
_symmetry_space_group_name_H-M 'P 4/m m m'
_symmetry_Int_Tables_number 123
_symmetry_space_group_name_Hall '-P 4 2'
_cell_length_a 3.813
_cell_length_b 3.813
_cell_length_c 5.301
_cell_angle_alpha 90.00
_cell_angle_beta 90.00
_cell_angle_gamma 90.00
loop_
_atom_site_label
_atom_site_type_symbol
_atom_site_fract_x
_atom_site_fract_y
_atom_site_fract_z
_atom_site_occupancy
Zn1 Zn 0.000 0.000 0.000 1
Ru1 Ru 0.500 0.500 0.500 1
Se1 Se 0.000 0.000 0.500 1
N1 N 0.000 0.500 0.000 1
```



Entry 11:
ZrRuSe2N: relaxed, PBE.

Values from the calculation:
The energy relative to the lowest polymorph listed for this composition is 54.47 kJ per mole of atoms. The uncorrected formation energy is 0.58 eV per atom.

The structure in CIF format:
```
data_ZrRuSe2N
_chemical_formula_sum 'Zr1 Ru1 Se2 N1'
_symmetry_space_group_name_H-M 'P 4/m m m'
_symmetry_Int_Tables_number 123
_symmetry_space_group_name_Hall '-P 4 2'
_cell_length_a 5.287
_cell_length_b 5.287
_cell_length_c 4.043
_cell_angle_alpha 90.00
_cell_angle_beta 90.00
_cell_angle_gamma 90.00
loop_
_atom_site_label
_atom_site_type_symbol
_atom_site_fract_x
_atom_site_fract_y
_atom_site_fract_z
_atom_site_occupancy
Zr1 Zr 0.000 0.000 0.000 1
Ru1 Ru 0.500 0.500 0.500 1
Se1 Se 0.000 0.500 0.000 1
N1 N 0.000 0.000 0.500 1
```



Entry 12:
ZrRuSeN2: relaxed, PBE.

Values from the calculation:
The energy relative to the lowest polymorph listed for this composition is 45.21 kJ per mole of atoms. The uncorrected formation energy is 0.90 eV per atom.

The structure in CIF format:
```
data_ZrRuSeN2
_chemical_formula_sum 'Zr1 Ru1 Se1 N2'
_symmetry_space_group_name_H-M 'P 4/m m m'
_symmetry_Int_Tables_number 123
_symmetry_space_group_name_Hall '-P 4 2'
_cell_length_a 4.090
_cell_length_b 4.090
_cell_length_c 5.605
_cell_angle_alpha 90.00
_cell_angle_beta 90.00
_cell_angle_gamma 90.00
loop_
_atom_site_label
_atom_site_type_symbol
_atom_site_fract_x
_atom_site_fract_y
_atom_site_fract_z
_atom_site_occupancy
Zr1 Zr 0.000 0.000 0.000 1
Ru1 Ru 0.500 0.500 0.500 1
Se1 Se 0.000 0.000 0.500 1
N1 N 0.000 0.500 0.000 1
```